DFT (GGA-PBE) results for an optimized crystal structure of ScSiTc2.

a b c (Å): 3.1679 3.1679 6.1098
angles (deg): 90.00 90.00 90.00
Closest atoms and distances in Å follow each position.
Fractional coordinates of all 4 atoms:
Tc1 0.0000 0.0000 0.9627  4 Si 2.59, 1 Tc 2.60, 4 Sc 2.85
Si1 0.5000 0.5000 0.7500  8 Tc 2.59
Tc2 0.0000 0.0000 0.5373  4 Si 2.59, 1 Tc 2.60, 4 Sc 2.85
Sc1 0.5000 0.5000 0.2500  8 Tc 2.85, 2 Si 3.05, 4 Sc 3.17

Summary:
energy = -33.791 eV per formula unit
formation energy (no corrections) = -0.3261 eV per atom